No. 1
Compound: Sn3Hg3Bi
Source: the Alexandria database
Functional: GGA-PBE
Structure: relaxed

Cell and atoms, written as extended XYZ:
```
14
Lattice="8.010 0.000 0.000 0.000 8.010 0.000 0.000 0.000 8.010" Properties=species:S:1:pos:R:3 pbc="T T T"
Sn 0.000 2.003 4.005
Sn 0.000 6.008 4.005
Sn 2.003 4.005 0.000
Sn 4.005 0.000 2.003
Sn 4.005 0.000 6.008
Sn 6.008 4.005 0.000
Hg 0.000 4.005 2.003
Hg 0.000 4.005 6.008
Hg 2.003 0.000 4.005
Hg 4.005 2.003 0.000
Hg 4.005 6.008 0.000
Hg 6.008 0.000 4.005
Bi 0.000 0.000 0.000
Bi 4.005 4.005 4.005
```

## Properties
Formation energy ... 11.99 kcal/mol of atoms
DFT total energy ... -1.879 eV/atom

No. 2
Compound: CrSb2MoC
Source: the Alexandria database
Functional: GGA-PBE
Structure: relaxed

Cell and atoms, written as extended XYZ:
```
5
Lattice="5.165 0.000 0.000 0.000 5.165 0.000 0.000 0.000 4.531" Properties=species:S:1:pos:R:3 pbc="T T T"
Cr 0.000 0.000 0.000
Sb 0.000 2.582 2.266
Sb 2.582 0.000 2.266
Mo 0.000 0.000 2.266
C 2.582 2.582 0.000
```

## Properties
Formation energy from raw total energies ... 1975 meV/atom
DFT total energy ... -5.610 eV/atom

No. 3
Compound: LaNd2DyY5
Source: the Alexandria database
Functional: GGA-PBE
Structure: relaxed

Cell and atoms, written as extended XYZ:
```
18
Lattice="-4.403 4.403 7.819 4.403 -4.403 7.819 4.403 4.403 -7.819" Properties=species:S:1:pos:R:3 pbc="T T T"
La 0.000 0.000 3.910
La 0.000 0.000 11.729
Nd 5.431 1.028 0.000
Nd 1.028 3.374 0.000
Nd 3.374 1.028 7.819
Nd -1.028 3.374 7.819
Dy 4.403 0.000 3.910
Dy 0.000 4.403 3.910
Y 0.000 0.000 0.000
Y 2.566 1.837 -2.129
Y 2.566 -1.837 5.690
Y 2.566 1.837 2.129
Y 2.566 -1.837 9.949
Y 0.000 0.000 7.819
Y 1.837 6.239 -2.129
Y 1.837 2.566 5.690
Y 1.837 6.239 2.129
Y 1.837 2.566 9.949
```

## Properties
Formation energy ... 5.61 kcal/mol of atoms
DFT total energy ... -5.466 eV/atom

No. 4
Compound: NaSmHo2Te4
Source: the Alexandria database
Functional: GGA-PBE
Structure: relaxed

Cell and atoms, written as extended XYZ:
```
8
Lattice="7.656 0.000 0.000 0.000 4.360 0.000 -2.477 0.000 7.257" Properties=species:S:1:pos:R:3 pbc="T T T"
Na 0.000 0.000 0.000
Sm 3.828 2.180 0.000
Ho -1.239 2.180 3.628
Ho 2.590 0.000 3.628
Te 0.037 0.000 5.391
Te 1.292 2.180 1.873
Te 3.887 2.180 5.384
Te 5.142 0.000 1.866
```

## Properties
Formation energy from raw total energies ... -1315 meV/atom
DFT total energy ... -4.785 eV/atom

No. 5
Compound: Ba3Au3O
Source: the Alexandria database
Functional: GGA-PBE
Structure: relaxed

Cell and atoms, written as extended XYZ:
```
14
Lattice="3.901 -6.201 0.000 3.901 6.201 0.000 -2.178 0.000 9.212" Properties=species:S:1:pos:R:3 pbc="T T T"
Ba 0.593 2.016 7.270
Ba 0.549 0.000 3.585
Ba 0.593 -2.016 7.270
Ba 5.031 2.016 1.943
Ba 5.075 0.000 5.628
Ba 5.031 -2.016 1.943
Au 3.901 4.748 0.000
Au 2.812 2.674 4.606
Au 2.498 0.000 0.770
Au 3.126 0.000 8.442
Au 2.812 -2.674 4.606
Au 3.901 -4.748 0.000
O -0.210 0.000 6.022
O 5.834 0.000 3.191
```

## Properties
Formation energy from raw total energies ... -1163 meV/atom
DFT total energy ... -4.100 eV/atom

No. 6
Compound: CeDyC2
Source: the Alexandria database
Functional: GGA-PBE
Structure: relaxed

Cell and atoms, written as extended XYZ:
```
4
Lattice="1.821 1.052 5.895 -1.821 1.052 5.895 0.000 -2.103 5.895" Properties=species:S:1:pos:R:3 pbc="T T T"
Ce 0.000 0.000 0.000
Dy 0.000 0.000 8.843
C 0.000 0.000 4.469
C 0.000 0.000 13.217
```

## Properties
Formation energy ... -0.35 kcal/mol of atoms
DFT total energy ... -7.261 eV/atom
Polymorph energy (0 for the lowest one) ... 0.00 eV/f.u.

No. 7
Compound: CrCu2Au
Source: the Alexandria database
Functional: GGA-PBE
Structure: relaxed

Cell and atoms, written as extended XYZ:
```
4
Lattice="2.683 0.000 0.000 0.000 2.683 0.000 0.000 0.000 7.485" Properties=species:S:1:pos:R:3 pbc="T T T"
Cr 0.000 0.000 0.000
Cu 0.000 0.000 3.408
Cu 1.342 1.342 1.716
Au 1.342 1.342 5.450
```

## Properties
Formation energy ... 5.60 kcal/mol of atoms
DFT total energy ... -5.031 eV/atom

No. 8
Compound: TbScAlPt
Source: the Alexandria database
Functional: GGA-PBE
Structure: relaxed

Cell and atoms, written as extended XYZ:
```
4
Lattice="0.000 3.464 3.464 3.464 0.000 3.464 3.464 3.464 0.000" Properties=species:S:1:pos:R:3 pbc="T T T"
Tb 0.000 0.000 0.000
Sc 3.464 3.464 3.464
Al 5.195 5.195 5.195
Pt 1.732 1.732 1.732
```

## Properties
Formation energy ... -16.95 kcal/mol of atoms
DFT total energy ... -5.921 eV/atom

Among the records above, which one has the highest DFT total energy?
Sn3Hg3Bi

The highest DFT total energy belongs to which entry?
Sn3Hg3Bi

Which of these has the lowest DFT total energy?
CeDyC2

Which of these has the lowest DFT total energy?
CeDyC2